# 1
Density functional theory data (GGA-PBE) for a relaxed Tm2PuHf crystal.

Structure (extended XYZ):
```
4
Lattice="-3.798 -0.383 -2.911 1.757 -3.987 -1.768 -2.276 -2.464 3.294" Properties=species:S:1:pos:R:3 pbc="T T T"
Hf -2.159 -3.417 -0.692
Tm 0.878 -1.993 -0.884
Tm -1.138 -1.232 1.647
Pu -1.899 -0.191 -1.455
```

Computed properties:
**Raw total energy**: -8.127 eV per atom
**Theoretical density**: 11.90 Mg/m³
**SG**: P4/mmm (123)
**Energy relative to the elements**: 180 meV/atom

# 2
Density functional theory data (GGA-PBE) for a relaxed TmPuHf2 crystal.

Structure (extended XYZ):
```
4
Lattice="4.641 0.000 0.000 0.000 4.587 0.000 0.000 0.000 4.587" Properties=species:S:1:pos:R:3 pbc="T T T"
Tm 2.321 2.294 2.294
Hf 0.000 0.000 2.294
Hf 0.000 2.294 0.000
Pu 2.321 0.000 0.000
```

Computed properties:
**Raw total energy**: -9.517 eV per atom
**Theoretical density**: 13.09 Mg/m³
**SG**: P4/mmm (123)
**Energy relative to the elements**: 161 meV/atom

# 3
Density functional theory data (GGA-PBE) for a relaxed TmPu2Hf crystal.

Structure (extended XYZ):
```
4
Lattice="3.308 0.000 0.000 1.654 2.865 0.000 1.654 0.955 10.859" Properties=species:S:1:pos:R:3 pbc="T T T"
Pu 1.654 0.955 2.583
Pu 4.962 2.865 8.275
Hf 0.000 0.000 0.000
Tm 3.308 1.910 5.429
```

Computed properties:
**Raw total energy**: -10.596 eV per atom
**Theoretical density**: 13.48 Mg/m³
**SG**: R-3m (166)
**Energy relative to the elements**: 176 meV/atom

# 4
Density functional theory data (GGA-PBE) for a relaxed TmPu2Hf crystal.

Structure (extended XYZ):
```
4
Lattice="4.723 0.000 0.000 0.000 4.633 0.000 0.000 0.000 4.633" Properties=species:S:1:pos:R:3 pbc="T T T"
Pu 0.000 0.000 2.317
Pu 0.000 2.317 0.000
Hf 2.362 2.317 2.317
Tm 2.362 0.000 0.000
```

Computed properties:
**Raw total energy**: -10.577 eV per atom
**Theoretical density**: 13.68 Mg/m³
**SG**: P4/mmm (123)
**Energy relative to the elements**: 195 meV/atom

# 5
Density functional theory data (GGA-PBE) for a relaxed PuHf2U crystal.

Structure (extended XYZ):
```
4
Lattice="-0.845 1.989 -2.209 -0.293 -0.967 -2.920 -11.101 -2.114 0.180" Properties=species:S:1:pos:R:3 pbc="T T T"
U 0.000 0.000 0.000
Hf -3.983 0.371 -4.628
Hf -8.256 -1.462 -0.321
Pu -6.120 -0.546 -2.475
```

Computed properties:
**Raw total energy**: -10.971 eV per atom
**Theoretical density**: 15.10 Mg/m³
**SG**: R-3m (166)
**Energy relative to the elements**: 410 meV/atom

# 6
Density functional theory data (GGA-PBE) for a relaxed PuHf2U crystal.

Structure (extended XYZ):
```
4
Lattice="-2.553 0.470 1.613 -0.704 -2.963 -0.252 4.880 -1.862 8.266" Properties=species:S:1:pos:R:3 pbc="T T T"
U -1.628 -1.247 0.680
Hf 1.205 -0.460 2.041
Hf 3.675 -1.403 6.225
Pu 0.811 -2.178 4.813
```

Computed properties:
**Raw total energy**: -11.150 eV per atom
**Theoretical density**: 15.26 Mg/m³
**SG**: P4/mmm (123)
**Energy relative to the elements**: 231 meV/atom

# 7
Density functional theory data (GGA-PBE) for a relaxed PuHfV2 crystal.

Structure (extended XYZ):
```
4
Lattice="-2.391 0.388 3.758 -2.486 -3.429 1.431 1.615 -2.442 3.939" Properties=species:S:1:pos:R:3 pbc="T T T"
V -2.706 -3.998 6.669
V -0.556 -1.485 2.459
Hf 0.000 0.000 0.000
Pu -1.631 -2.742 4.564
```

Computed properties:
**Raw total energy**: -10.426 eV per atom
**Theoretical density**: 12.05 Mg/m³
**SG**: R-3m (166)
**Energy relative to the elements**: 205 meV/atom

# 8
Density functional theory data (GGA-PBE) for a relaxed PuHfV2 crystal.

Structure (extended XYZ):
```
4
Lattice="3.247 0.000 0.000 0.000 3.247 0.000 0.000 0.000 6.616" Properties=species:S:1:pos:R:3 pbc="T T T"
V 0.000 0.000 1.479
V 0.000 0.000 5.137
Pu 1.623 1.623 0.000
Hf 1.623 1.623 3.308
```

Computed properties:
**Raw total energy**: -10.411 eV per atom
**Theoretical density**: 12.49 Mg/m³
**SG**: P4/mmm (123)
**Energy relative to the elements**: 220 meV/atom

# 9
Density functional theory data (GGA-PBE) for a relaxed PuHfV2 crystal.

Structure (extended XYZ):
```
4
Lattice="-0.515 0.371 3.182 4.302 -1.613 0.884 1.683 4.360 -0.236" Properties=species:S:1:pos:R:3 pbc="T T T"
Hf -0.257 0.185 1.591
V 0.841 2.180 -0.118
V 2.151 -0.806 0.442
Pu 2.735 1.559 1.915
```

Computed properties:
**Raw total energy**: -10.366 eV per atom
**Theoretical density**: 12.26 Mg/m³
**SG**: P4/mmm (123)
**Energy relative to the elements**: 264 meV/atom

# 10
Density functional theory data (GGA-PBE) for a relaxed PuHfW crystal.

Structure (extended XYZ):
```
6
Lattice="-3.450 3.310 0.305 -1.953 -2.108 0.787 1.928 1.257 8.155" Properties=species:S:1:pos:R:3 pbc="T T T"
W 0.295 -0.225 5.770
W -0.320 -0.626 3.172
Pu -1.102 1.644 7.311
Pu -2.373 0.815 1.936
Hf -0.761 2.284 4.230
Hf 0.000 0.000 0.000
```

Computed properties:
**Raw total energy**: -12.054 eV per atom
**Theoretical density**: 16.65 Mg/m³
**SG**: Pmmm (47)
**Energy relative to the elements**: 358 meV/atom

# 11
Density functional theory data (GGA-PBE) for a relaxed PuHfZn4 crystal.

Structure (extended XYZ):
```
6
Lattice="-1.557 1.144 4.957 0.413 -3.668 3.832 3.618 0.578 3.858" Properties=species:S:1:pos:R:3 pbc="T T T"
Hf 0.000 0.000 0.000
Pu 0.618 -0.486 3.162
Zn 2.332 -1.794 5.420
Zn 1.548 -1.218 7.915
Zn 1.340 0.629 5.987
Zn -0.273 -1.509 5.973
```

Computed properties:
**Raw total energy**: -5.018 eV per atom
**Theoretical density**: 10.67 Mg/m³
**SG**: F-43m (216)
**Energy relative to the elements**: -121 meV/atom

# 12
Density functional theory data (GGA-PBE) for a relaxed PuHfZn4 crystal.

Structure (extended XYZ):
```
6
Lattice="-3.624 -2.316 -0.762 3.140 0.202 -3.029 3.015 -5.622 2.752" Properties=species:S:1:pos:R:3 pbc="T T T"
Zn 1.014 -5.921 0.657
Zn 3.269 -5.082 -0.098
Zn -0.737 -2.655 -0.941
Zn 1.517 -1.816 -1.697
Hf 0.000 0.000 0.000
Pu 1.507 -2.811 1.376
```

Computed properties:
**Raw total energy**: -5.017 eV per atom
**Theoretical density**: 9.90 Mg/m³
**SG**: P6/mmm (191)
**Energy relative to the elements**: -120 meV/atom

# 13
Density functional theory data (GGA-PBE) for a relaxed PuHf2Zn9 crystal.

Structure (extended XYZ):
```
24
Lattice="5.338 0.000 0.000 0.000 8.735 0.000 0.000 0.000 8.735" Properties=species:S:1:pos:R:3 pbc="T T T"
Zn 4.090 7.211 2.844
Zn 2.669 3.788 6.151
Zn 2.669 6.151 4.947
Zn 2.669 6.951 0.580
Zn 2.669 4.367 0.000
Zn 1.248 1.523 5.891
Zn 2.669 4.947 2.584
Zn 1.248 5.891 7.211
Zn 2.669 0.580 1.784
Zn 4.090 1.523 5.891
Zn 2.669 8.155 6.951
Zn 2.669 0.000 4.367
Zn 4.090 2.844 1.523
Zn 1.248 2.844 1.523
Zn 2.669 2.584 3.788
Zn 2.669 1.784 8.155
Zn 4.090 5.891 7.211
Zn 1.248 7.211 2.844
Hf 0.000 7.665 5.437
Hf 0.000 5.437 1.070
Hf 0.000 1.070 3.298
Hf 0.000 3.298 7.665
Pu 0.000 0.000 0.000
Pu 0.000 4.367 4.367
```

Computed properties:
**Raw total energy**: -3.960 eV per atom
**Theoretical density**: 9.70 Mg/m³
**SG**: P4/mbm (127)
**Energy relative to the elements**: -151 meV/atom

# 14
Density functional theory data (GGA-PBE) for a relaxed PuHfZn4 crystal.

Structure (extended XYZ):
```
6
Lattice="2.999 0.000 0.011 0.000 4.520 0.000 -0.029 0.000 7.970" Properties=species:S:1:pos:R:3 pbc="T T T"
Hf 1.485 2.260 3.990
Zn 2.993 2.260 1.457
Zn -0.024 2.260 6.524
Zn -0.009 0.000 2.741
Zn 2.979 0.000 5.240
Pu 1.499 0.000 0.006
```

Computed properties:
**Raw total energy**: -5.075 eV per atom
**Theoretical density**: 10.52 Mg/m³
**SG**: Pmmm (47)
**Energy relative to the elements**: -178 meV/atom

# 15
Density functional theory data (GGA-PBE) for a relaxed PuHfZrZn crystal.

Structure (extended XYZ):
```
4
Lattice="-2.445 1.404 -4.022 -1.228 -3.315 -3.409 -4.702 -1.289 -0.590" Properties=species:S:1:pos:R:3 pbc="T T T"
Zr -4.188 -1.600 -4.011
Hf 0.000 0.000 0.000
Pu -2.094 -0.800 -2.005
Zn -6.281 -2.400 -6.016
```

Computed properties:
**Raw total energy**: -8.381 eV per atom
**Theoretical density**: 11.48 Mg/m³
**SG**: F-43m (216)
**Energy relative to the elements**: 145 meV/atom

# 16
Density functional theory data (GGA-PBE) for a relaxed Pu2Hf4Zr9 crystal.

Structure (extended XYZ):
```
30
Lattice="9.751 -0.836 1.334 4.190 7.106 0.784 1.613 0.019 9.777" Properties=species:S:1:pos:R:3 pbc="T T T"
Pu 6.675 6.827 9.283
Pu 14.551 6.143 8.694
Pu 8.878 -0.537 2.611
Pu 1.002 0.146 3.200
Zr 3.543 -0.101 5.481
Zr 5.722 -0.180 7.814
Zr 8.039 -0.389 9.979
Zr 7.240 4.577 4.314
Zr 1.521 2.273 0.915
Zr 8.716 4.198 9.594
Zr 10.558 1.640 9.837
Zr 4.995 4.649 2.057
Zr 6.837 2.092 2.301
Zr 11.671 3.883 4.307
Zr 8.314 1.712 7.580
Zr 7.515 6.678 1.915
Zr 4.197 4.508 5.203
Zr 3.882 2.407 7.587
Zr 9.831 6.469 4.080
Zr 14.032 4.016 10.979
Zr 12.010 6.390 6.414
Zr 11.356 1.781 6.691
Hf 6.207 2.242 9.844
Hf 9.347 4.047 2.050
Hf 9.084 2.021 4.498
Hf 9.517 4.406 6.532
Hf 6.469 4.268 7.396
Hf 11.784 4.266 8.753
Hf 6.037 1.883 5.362
Hf 3.769 2.023 3.142
```

Computed properties:
**Raw total energy**: -9.666 eV per atom
**Theoretical density**: 9.66 Mg/m³
**SG**: P-1 (2)
**Energy relative to the elements**: 28 meV/atom

# 17
Density functional theory data (GGA-PBE) for a relaxed PuHf2Zr8 crystal.

Structure (extended XYZ):
```
11
Lattice="-7.618 0.290 -5.704 5.990 -5.824 5.523 2.868 -2.241 8.798" Properties=species:S:1:pos:R:3 pbc="T T T"
Zr 2.473 -4.706 3.791
Zr 1.543 -2.983 6.296
Zr 2.878 -5.440 6.797
Zr 1.095 -2.113 3.309
Zr -1.639 -2.335 1.821
Zr 0.144 -5.662 5.309
Zr -0.304 -4.792 2.321
Zr -1.235 -3.069 4.827
Pu 0.000 0.000 0.000
Hf 4.573 -5.543 9.334
Hf -3.334 -2.232 -0.716
```

Computed properties:
**Raw total energy**: -9.050 eV per atom
**Theoretical density**: 8.28 Mg/m³
**SG**: C2/m (12)
**Energy relative to the elements**: 280 meV/atom

# 18
Density functional theory data (GGA-PBE) for a relaxed Pu2Hf4Zr3 crystal.

Structure (extended XYZ):
```
18
Lattice="5.463 2.200 1.765 3.271 10.050 2.596 2.224 1.798 9.609" Properties=species:S:1:pos:R:3 pbc="T T T"
Pu 7.127 10.621 7.562
Pu 3.830 3.427 6.408
Pu 6.156 6.064 3.587
Pu 4.802 7.984 10.383
Hf 7.323 6.108 10.697
Hf 6.140 8.915 5.051
Hf 3.634 7.940 3.273
Hf 6.755 4.666 6.364
Hf 3.212 4.825 3.638
Hf 7.746 9.223 10.332
Hf 4.202 9.382 7.606
Hf 4.817 5.133 8.919
Zr 3.239 1.983 2.133
Zr 7.719 12.065 11.837
Zr 5.155 11.149 10.052
Zr 5.803 2.899 3.918
Zr 4.198 6.600 6.053
Zr 6.759 7.449 7.917
```

Computed properties:
**Raw total energy**: -10.395 eV per atom
**Theoretical density**: 11.77 Mg/m³
**SG**: P-1 (2)
**Energy relative to the elements**: 63 meV/atom

# 19
Density functional theory data (GGA-PBE) for a relaxed PuHfZr14 crystal.

Structure (extended XYZ):
```
16
Lattice="-3.478 4.017 3.276 -3.916 -2.511 -4.161 -2.226 -7.159 6.415" Properties=species:S:1:pos:R:3 pbc="T T T"
Zr -3.857 -1.641 -3.169
Zr -4.053 1.663 4.081
Zr -5.303 0.491 -1.292
Zr -2.750 -4.302 1.833
Zr -2.587 -0.564 2.293
Zr -3.692 -4.120 5.479
Zr -5.818 0.094 1.905
Zr -5.408 -5.520 3.177
Zr -4.344 -2.100 0.112
Zr -5.214 -2.070 7.426
Zr -7.009 -3.435 1.323
Zr -3.613 2.001 0.980
Zr -2.168 -0.147 -0.917
Zr -6.924 -3.462 5.092
Hf -4.978 -5.337 -0.095
Pu -4.785 -2.464 3.178
```

Computed properties:
**Raw total energy**: -8.954 eV per atom
**Theoretical density**: 7.60 Mg/m³
**SG**: Amm2 (38)
**Energy relative to the elements**: 44 meV/atom

# 20
Density functional theory data (GGA-PBE) for a relaxed PuHf2Zr crystal.

Structure (extended XYZ):
```
4
Lattice="0.959 5.349 -1.279 -0.409 -0.666 -3.078 -6.115 -3.895 0.017" Properties=species:S:1:pos:R:3 pbc="T T T"
Zr -4.444 -2.852 -1.222
Hf -4.269 -0.565 -3.375
Hf -0.593 3.280 -1.418
Pu -1.312 0.265 -2.311
```

Computed properties:
**Raw total energy**: -10.622 eV per atom
**Theoretical density**: 12.44 Mg/m³
**SG**: Cm (8)
**Energy relative to the elements**: 74 meV/atom

# 21
Density functional theory data (GGA-PBE) for a relaxed PuHf6Zr2 crystal.

Structure (extended XYZ):
```
18
Lattice="-4.912 -1.021 2.352 2.362 -6.090 -6.365 11.045 0.188 5.768" Properties=species:S:1:pos:R:3 pbc="T T T"
Zr 5.926 -4.713 2.765
Zr 1.678 -1.251 1.887
Zr 2.570 -2.210 -1.009
Zr 6.817 -5.671 -0.131
Hf 0.924 -6.500 -3.993
Hf 8.963 -5.472 2.229
Hf 2.127 -1.338 5.006
Hf 4.716 -2.010 1.350
Hf 0.774 -4.073 0.859
Hf 7.721 -2.850 0.897
Hf 6.368 -5.585 -3.250
Hf 3.780 -4.912 0.406
Hf -0.468 -1.451 -0.472
Hf 7.571 -0.423 5.749
Hf 0.241 -3.966 -2.236
Hf 8.254 -2.956 3.992
Pu 5.190 -2.147 4.499
Pu 3.305 -4.776 -2.743
```

Computed properties:
**Raw total energy**: -10.083 eV per atom
**Theoretical density**: 12.08 Mg/m³
**SG**: P-1 (2)
**Energy relative to the elements**: 44 meV/atom

# 22
Density functional theory data (GGA-PBE) for a relaxed PuHf4Zr8 crystal.

Structure (extended XYZ):
```
13
Lattice="5.780 -0.001 -3.118 -3.739 5.394 -0.013 1.069 0.753 8.899" Properties=species:S:1:pos:R:3 pbc="T T T"
Pu 4.446 3.072 1.324
Zr 3.437 4.544 3.211
Zr -0.326 1.602 2.556
Zr -2.357 4.524 2.547
Zr 0.794 4.544 4.637
Zr 2.428 1.683 4.503
Zr 0.683 4.462 1.264
Zr 5.468 1.621 3.220
Zr 2.317 1.602 1.131
Hf 1.021 2.696 -1.566
Hf -1.869 2.697 -0.007
Hf 3.111 6.146 5.767
Hf -0.849 5.393 -1.572
```

Computed properties:
**Raw total energy**: -9.165 eV per atom
**Theoretical density**: 9.21 Mg/m³
**SG**: C2/m (12)
**Energy relative to the elements**: 260 meV/atom

# 23
Density functional theory data (GGA-PBE) for a relaxed Pu2Hf2Zr7 crystal.

Structure (extended XYZ):
```
11
Lattice="7.773 -0.293 -0.423 -0.889 5.774 1.106 -0.889 -0.992 5.794" Properties=species:S:1:pos:R:3 pbc="T T T"
Zr 3.164 1.293 1.866
Zr 0.111 2.027 5.727
Zr 0.111 4.650 3.909
Zr 5.885 -0.162 2.568
Zr 5.885 2.461 0.750
Zr 2.832 3.196 4.612
Zr 0.000 0.000 0.000
Hf 5.492 2.592 3.741
Hf 0.504 1.896 2.737
Pu 2.998 0.096 4.727
Pu 2.998 4.392 1.750
```

Computed properties:
**Raw total energy**: -9.605 eV per atom
**Theoretical density**: 9.30 Mg/m³
**SG**: C2/m (12)
**Energy relative to the elements**: 251 meV/atom